Below is crystalline Nd3Dy3Tm5 at its relaxed geometry, with properties calculated at the PBE level.

The structure in CIF format:
```
data_Nd3Dy3Tm5
_cell_length_a 9.6068
_cell_length_b 9.6068
_cell_length_c 5.4511
_cell_angle_alpha 90.00
_cell_angle_beta 90.00
_cell_angle_gamma 120.00
_symmetry_space_group_name_H-M 'P -6 2 m'
_symmetry_Int_Tables_number 189
_symmetry_space_group_name_Hall 'P -6 -2'
loop_
_atom_site_label
_atom_site_fract_x
_atom_site_fract_y
_atom_site_fract_z
_atom_site_occupancy
Nd1 0.0000 0.6325 0.0000 1
Dy1 0.0000 0.4503 0.5000 1
Tm1 0.0000 0.2663 0.0000 1
Tm2 0.3333 0.6667 0.0000 1
```

Properties
density of states at the Fermi level = 1.50 states/eV per atom
size of the total moment = 0.00 μB per formula unit
formation energy from the elements = 817.3 meV/atom